[1]
VASP calculation (PBE-GGA) on crystalline ZnCuHgF6 at its relaxed geometry.

The total magnetization is 2.00 μB per cell. The value obtained for the formation energy (no corrections) is -1.725 eV per atom. The value obtained for the total DFT energy (no corrections) is -64.86 eV/cell. Its volume is 247.84 Å³/cell.

```
ZnCuHgF6
1.0
5.381 0.000 0.000
-2.691 4.660 0.000
0.000 0.000 9.882
Zn Cu Hg F
2 2 2 12
Direct
0.333 0.667 0.250
0.667 0.333 0.750
0.333 0.667 0.750
0.667 0.333 0.250
0.000 0.000 0.000
0.000 0.000 0.500
0.003 0.359 0.639
0.003 0.644 0.861
0.356 0.359 0.861
0.356 0.997 0.639
0.359 0.003 0.139
0.359 0.356 0.361
0.641 0.644 0.639
0.641 0.997 0.861
0.644 0.003 0.361
0.644 0.641 0.139
0.997 0.356 0.139
0.997 0.641 0.361
```

---

[2]
VASP calculation (PBE-GGA) on crystalline ZnCu2HgF8 at its relaxed geometry.

The total magnetization is 2.00 μB per cell. The value obtained for the formation energy (no corrections) is -1.599 eV per atom. The value obtained for the total DFT energy (no corrections) is -43.92 eV/cell. Its volume is 156.18 Å³/cell.

```
ZnCu2HgF8
1.0
-2.672 2.672 5.469
2.672 -2.672 5.469
2.672 2.672 -5.469
Zn Cu Hg F
1 2 1 8
Direct
0.000 0.000 0.000
0.250 0.750 0.500
0.500 0.500 0.000
0.750 0.250 0.500
0.012 0.662 0.053
0.041 0.988 0.650
0.166 0.249 0.517
0.338 0.391 0.350
0.351 0.834 0.083
0.609 0.959 0.947
0.732 0.649 0.483
0.751 0.268 0.917
```

---

Number 2 is which compound? ZnCu2HgF8